1.
Below is crystalline SrSc2Mn at its relaxed geometry, with properties calculated at the PBE-GGA level.

Cell: 4.6517 4.6517 6.5846 Å, 69.43 69.43 59.78°
Each line ends with the local moment (μB).
Positions (direct):
Sc: 0.5428 0.5428 0.3726  -0.45
Mn: 0.2500 0.2500 0.2500  2.93
Sr: 0.7500 0.7500 0.7500  -0.09
Sc: 0.9572 0.9572 0.1274  -0.45

Values from the calculation:
* Fermi-level density of states: 3.53 states/eV per cell
* SG: C2/m
* E_form: 367.2 meV per atom
* total energy: -5.51 eV/atom
* energy above the most stable polymorph in this dataset: 15.8 kJ per mole of atoms

---

2.
Below is crystalline Mg3BiN at its relaxed geometry, with properties calculated at the PBE-GGA level.

Cell: 5.7968 5.8382 7.5743 Å, 112.57 90.00 89.99°
Positions (direct):
N: 0.5639 0.5948 0.9002
Mg: 0.8341 0.3871 0.9387
Mg: 0.4030 0.4691 0.6444
Mg: 0.9029 0.8075 0.3311
Mg: 0.3344 0.4359 0.0365
Mg: 0.8344 0.8400 0.9388
N: 0.0639 0.6815 0.0754
Bi: 0.1565 0.9888 0.6871
Bi: 0.6565 0.2877 0.2884
Mg: 0.3341 0.8891 0.0370

Values from the calculation:
* Fermi-level density of states: 0.00 states/eV per cell
* SG: P2_1
* raw formation energy: -0.40 eV/atom
* total energy: -3.80 eV/atom

---

3.
Below is crystalline NdYAlAg at its relaxed geometry, with properties calculated at the PBE-GGA level.

Cell: 3.6067 3.6067 7.7107 Å, 90.00 90.00 90.00°
Positions (direct):
Ag: 0.5000 0.5000 0.1277
Al: 0.5000 0.5000 0.5941
Nd: 0.0000 0.0000 0.8510
Y: 0.0000 0.0000 0.3552

Values from the calculation:
* Fermi-level density of states: 3.53 states/eV per cell
* SG: P4mm
* E_form: -347.8 meV per atom
* total energy: -4.80 eV/atom
* energy above the most stable polymorph in this dataset: 0.0 kJ per mole of atoms

---

4.
Below is crystalline BaLaAs2S8 at its relaxed geometry, with properties calculated at the PBE-GGA level.

Cell: 6.1765 6.1765 9.7240 Å, 90.00 90.00 120.00°
Positions (direct):
Ba: 0.0000 0.0000 0.0000
S: 0.0210 0.6620 0.2991
S: 0.6667 0.3333 0.0120
S: 0.3590 0.0210 0.7009
La: 0.0000 0.0000 0.5000
S: 0.6410 0.9790 0.2991
S: 0.9790 0.3380 0.7009
S: 0.3333 0.6667 0.9880
S: 0.6620 0.6410 0.7009
As: 0.6667 0.3333 0.2356
As: 0.3333 0.6667 0.7644
S: 0.3380 0.3590 0.2991

Values from the calculation:
* Fermi-level density of states: 12.98 states/eV per cell
* SG: P-3
* raw formation energy: -0.69 eV/atom
* total energy: -4.79 eV/atom